Record 1
HfMnTc | Alexandria | PBE | relaxed; SG = Imma (74); crystal system = orthorhombic; distance to the lowest polymorph of the same formula = 0 meV/atom; V = 95 Å³/cell; mass density = 11.6 g/cm3
1.0
5.1177 -0.0446 -0.0514
-2.5257 4.4513 0.0514
-2.5252 -1.4803 4.1985
Mn Tc Hf
2 2 2
Cartesian
-2.5254 1.4855 2.1249
1.2962 -0.7625 2.0736
0.0334 1.4632 2.0993
-1.2628 2.2256 0.0257
-1.2469 -0.7494 3.6681
1.3137 3.6758 0.5304

Record 2
HfMnTc | Alexandria | PBE | relaxed; SG = I4mm (107); crystal system = tetragonal; distance to the lowest polymorph of the same formula = 218 meV/atom; V = 47 Å³/cell; mass density = 11.8 g/cm3
1.0
3.1268 0.0000 0.0000
0.0000 3.1268 0.0000
-1.5634 -1.5634 4.7842
Mn Tc Hf
1 1 1
Cartesian
0.0000 0.0000 3.0747
1.5634 1.5634 1.7247
1.5634 1.5634 4.7692

Record 3
Hf3MnTc | Alexandria | PBE | relaxed; SG = Pm-3m (221); crystal system = cubic; distance to the lowest polymorph of the same formula = 436 meV/atom; V = 118 Å³/cell; mass density = 9.7 g/cm3
1.0
4.9100 0.0000 0.0000
0.0000 4.9100 0.0000
0.0000 0.0000 4.9100
Mn Hf Tc
1 3 1
Cartesian
2.4550 2.4550 2.4550
2.4550 0.0000 0.0000
0.0000 0.0000 2.4550
0.0000 2.4550 0.0000
0.0000 0.0000 0.0000

Record 4
HfMn2Tc2 | Alexandria | PBE | relaxed; SG = I4/mmm (139); crystal system = tetragonal; distance to the lowest polymorph of the same formula = 76 meV/atom; V = 79 Å³/cell; mass density = 10.2 g/cm3
1.0
3.9709 0.0000 0.0000
0.0000 3.9709 0.0000
1.9855 1.9855 5.0220
Tc Mn Hf
2 2 1
Cartesian
1.9855 1.9855 1.2352
3.9709 3.9709 3.7868
1.9855 3.9709 2.5110
3.9709 1.9855 2.5110
0.0000 0.0000 0.0000

Record 5
Hf2MnTc2 | Alexandria | PBE | relaxed; SG = P4/mbm (127); crystal system = tetragonal; V = 173 Å³/cell; mass density = 11.7 g/cm3
1.0
-4.4857 -2.2192 3.7779
3.1345 -5.4031 0.5480
2.1427 1.5962 3.4818
Tc Hf Mn
4 4 2
Cartesian
-1.7915 -5.3916 3.5743
0.4403 -2.2307 0.7517
1.0915 -5.3854 1.7972
-2.4427 -2.2368 2.5287
2.3990 -3.2552 2.7821
0.1799 -0.8761 3.0570
0.6117 -5.1499 4.7506
-1.6075 -2.7709 5.0256
0.0000 0.0000 0.0000
-0.6756 -3.8111 2.1630

Record 6
HfMnTc | Alexandria | PBE | relaxed; SG = R-3m (166); crystal system = trigonal; distance to the lowest polymorph of the same formula = 17 meV/atom; V = 284 Å³/cell; mass density = 11.6 g/cm3
1.0
5.1626 0.0000 0.0000
2.5813 4.4709 0.0000
2.5813 1.4903 12.3216
Hf Tc Mn
6 6 6
Cartesian
7.7438 4.4709 6.7144
2.5813 1.4903 10.8555
7.7438 4.4709 1.4661
2.5813 1.4903 2.4386
7.7439 4.4709 9.8831
2.5813 1.4903 5.6072
3.8540 3.7361 4.0429
6.4712 3.7361 4.0429
3.8540 2.2251 8.2787
6.4712 2.2251 8.2787
5.1626 1.4696 4.0429
5.1626 4.4916 8.2787
5.1626 2.9806 10.4631
5.1626 2.9806 1.8586
2.5813 0.0000 0.0000
5.1626 2.9806 6.1608
1.2906 2.2355 0.0000
3.8719 2.2355 0.0000

no.,formation energy from the elements (meV/atom),final energy (eV per atom)
1,-313,-10.143
2,-95,-9.924
3,1079,-8.800
4,136,-9.669
5,-51,-10.012
6,-296,-10.126